(1)
The following is a PBE-GGA calculation of a geometry-optimized K2MnNi structure, from Alexandria via LeMat-Bulk.

Output
E_form ... 99.4 kJ/mol of atoms
DFT total energy ... -3.2564 eV per atom
N(E_F) ... 1.9 states/eV/cell
Distance to the lowest polymorph of the same formula ... 527 meV/atom

Cell lengths 3.870, 5.010, 5.825 Å; angles 90.00, 90.00, 90.00 degrees
Site moments in Bohr magnetons follow the coordinates.
Fractional positions:
K (0.000, 0.000, 0.992)  -0.01
K (0.000, 0.000, 0.508)  -0.01
Mn (0.500, 0.500, 0.250)  4.12
Ni (0.500, 0.500, 0.750)  0.50


(2)
The following is a PBE-GGA calculation of a geometry-optimized KMnNi2 structure, from Alexandria via LeMat-Bulk.

Output
E_form ... 53.1 kJ/mol of atoms
DFT total energy ... -4.9072 eV per atom
N(E_F) ... 3.4 states/eV/cell
Distance to the lowest polymorph of the same formula ... 118 meV/atom

Cell lengths 4.716, 4.716, 6.431 Å; angles 80.82, 80.82, 34.44 degrees
Site moments in Bohr magnetons follow the coordinates.
Fractional positions:
K (0.508, 0.508, 0.480)  0.00
Mn (0.712, 0.712, 0.896)  3.57
Ni (0.989, 0.989, 0.971)  0.53
Ni (0.292, 0.292, 0.153)  0.57


(3)
The following is a PBE-GGA calculation of a geometry-optimized KMnNi2 structure, from Alexandria via LeMat-Bulk.

Output
E_form ... 62.7 kJ/mol of atoms
DFT total energy ... -4.8076 eV per atom
N(E_F) ... 2.6 states/eV/cell
Distance to the lowest polymorph of the same formula ... 218 meV/atom

Cell lengths 9.415, 9.415, 9.415 Å; angles 17.26, 17.26, 17.26 degrees
Site moments in Bohr magnetons follow the coordinates.
Fractional positions:
K (0.250, 0.250, 0.250)  0.00
Mn (0.750, 0.750, 0.750)  3.44
Ni (0.015, 0.015, 0.015)  0.51
Ni (0.485, 0.485, 0.485)  0.51


(4)
The following is a PBE-GGA calculation of a geometry-optimized KMnNi2 structure, from Alexandria via LeMat-Bulk.

Output
E_form ... 98.4 kJ/mol of atoms
DFT total energy ... -4.4374 eV per atom
N(E_F) ... 5.0 states/eV/cell
Distance to the lowest polymorph of the same formula ... 588 meV/atom

Cell lengths 5.058, 5.058, 5.058 Å; angles 133.07, 133.07, 68.55 degrees
Site moments in Bohr magnetons follow the coordinates.
Fractional positions:
K (0.500, 0.500, 0.000)  0.00
Mn (0.750, 0.250, 0.500)  3.96
Ni (0.000, 0.000, 0.000)  0.47
Ni (0.250, 0.750, 0.500)  0.44


(5)
The following is a PBE-GGA calculation of a geometry-optimized K2MnNi structure, from Alexandria via LeMat-Bulk.

Output
E_form ... 51.7 kJ/mol of atoms
DFT total energy ... -3.7507 eV per atom
N(E_F) ... 3.2 states/eV/cell
Distance to the lowest polymorph of the same formula ... 33 meV/atom

Cell lengths 4.173, 4.173, 9.509 Å; angles 79.66, 79.66, 59.76 degrees
Site moments in Bohr magnetons follow the coordinates.
Fractional positions:
K (0.949, 0.949, 0.104)  -0.01
K (0.800, 0.800, 0.645)  -0.01
Mn (0.542, 0.542, 0.375)  3.77
Ni (0.209, 0.209, 0.375)  0.33


(6)
The following is a PBE-GGA calculation of a geometry-optimized KMnNi2 structure, from Alexandria via LeMat-Bulk.

Output
E_form ... 68.9 kJ/mol of atoms
DFT total energy ... -4.7431 eV per atom
N(E_F) ... 3.5 states/eV/cell
Distance to the lowest polymorph of the same formula ... 283 meV/atom

Cell lengths 5.847, 5.847, 5.847 Å; angles 153.28, 128.24, 59.20 degrees
Site moments in Bohr magnetons follow the coordinates.
Fractional positions:
K (0.505, 0.505, 0.000)  -0.01
Mn (0.202, 0.702, 0.500)  3.81
Ni (0.996, 0.996, 0.000)  0.55
Ni (0.797, 0.297, 0.500)  0.55


Repeat the third record exactly.
The following is a PBE-GGA calculation of a geometry-optimized KMnNi2 structure, from Alexandria via LeMat-Bulk.

Output
E_form ... 62.7 kJ/mol of atoms
DFT total energy ... -4.8076 eV per atom
N(E_F) ... 2.6 states/eV/cell
Distance to the lowest polymorph of the same formula ... 218 meV/atom

Cell lengths 9.415, 9.415, 9.415 Å; angles 17.26, 17.26, 17.26 degrees
Site moments in Bohr magnetons follow the coordinates.
Fractional positions:
K (0.250, 0.250, 0.250)  0.00
Mn (0.750, 0.750, 0.750)  3.44
Ni (0.015, 0.015, 0.015)  0.51
Ni (0.485, 0.485, 0.485)  0.51


- What is the N(E_F) in the third record?
  2.6 states/eV/cell


- Which formula does entry 5 have?
  K2MnNi